Pr3VO6: optimized geometry, GGA+U.

Results
Electronic total energy ... -0.598 Ry per atom
Total moment ... 0.200 μB per atom

Cell: 9.3666 11.7365 5.7454 Å, 90.00 90.00 90.00°
With the nearest neighbours (Å) after each atom.
Space group Cmc2_1 (No. 36)
Inequivalent atoms, fractional coordinates:
Pr (0.0000, 0.1036, 0.0000) x4  7 O 2.41-2.58
Pr (0.1940, 0.3935, 0.0429) x8  5 O 2.34-2.50
V (0.0000, 0.3080, 0.5754) x4  4 O 1.94-1.95
O (0.0000, 0.2849, 0.2412) x4  1 V 1.94
O (0.0000, 0.4575, 0.7246) x4  1 V 1.95
O (0.1547, 0.2386, 0.7503) x8  1 V 1.94
O (0.1595, 0.0132, 0.2733) x8  4 Pr 2.34-2.41